[1]
Cd3Te PBE relaxed; magnetic moment = 0.00 μB/atom; energy above the lowest structure with this stoichiometry = 213 meV per atom; SG = R-3m; formation energy (no corrections) = 0.4 eV per formula unit
1.0
6.655 -0.028 -0.100
-3.092 5.893 -0.100
-3.092 -5.090 2.970
Te Cd
1 3
Direct
0.500 0.500 0.000
0.000 0.000 0.000
0.000 0.500 0.500
0.500 0.000 0.500

***

[2]
Cd3Te PBE relaxed; magnetic moment = 0.00 μB/atom; energy above the lowest structure with this stoichiometry = 101 meV per atom; SG = P6_3/mmc; formation energy (no corrections) = 0.0 eV per formula unit
1.0
-5.805 -1.133 -5.147
-0.102 -3.714 6.905
-2.118 3.194 1.686
Cd Te
6 2
Direct
0.838 0.675 0.250
0.325 0.162 0.250
0.838 0.162 0.250
0.162 0.325 0.750
0.675 0.838 0.750
0.162 0.838 0.750
0.333 0.667 0.250
0.667 0.333 0.750

***

[3]
Cd2Te PBE relaxed; magnetic moment = 0.00 μB/atom; energy above the lowest structure with this stoichiometry = 53 meV per atom; SG = C2/m; formation energy (no corrections) = -0.4 eV per formula unit
1.0
2.101 6.624 -0.048
-2.101 6.624 -0.048
0.000 1.178 6.014
Cd Te
4 2
Direct
0.491 0.491 0.742
0.177 0.177 0.289
0.823 0.823 0.711
0.509 0.509 0.258
0.847 0.847 0.209
0.153 0.153 0.791

***

[4]
CdTe5 PBE relaxed; magnetic moment = 0.00 μB/atom; energy above the lowest structure with this stoichiometry = 287 meV per atom; SG = P4/mmm; formation energy (no corrections) = 1.4 eV per formula unit
1.0
3.819 0.000 0.000
0.000 3.819 0.000
0.000 0.000 11.517
Cd Te
1 5
Direct
0.500 0.500 0.000
0.000 0.000 0.844
0.000 0.000 0.156
0.500 0.500 0.664
0.500 0.500 0.336
0.000 0.000 0.500

***

[5]
Cd2Te PBE relaxed; magnetic moment = 0.00 μB/atom; energy above the lowest structure with this stoichiometry = 51 meV per atom; SG = P4/nmm; formation energy (no corrections) = -0.4 eV per formula unit
1.0
4.209 0.000 0.000
0.000 4.209 0.000
0.000 0.000 9.963
Cd Te
4 2
Direct
0.000 0.000 0.000
0.500 0.500 0.000
0.500 0.000 0.383
0.000 0.500 0.617
0.500 0.000 0.683
0.000 0.500 0.317

***

[6]
Cd3Te5 PBE relaxed; magnetic moment = 0.00 μB/atom; energy above the lowest structure with this stoichiometry = 37 meV per atom; SG = Cmmm; formation energy (no corrections) = 0.2 eV per formula unit
1.0
6.581 6.522 -1.316
-7.928 -1.158 -4.836
-1.997 2.552 2.663
Cd Te
3 5
Direct
0.500 0.500 0.000
0.754 0.246 0.500
0.246 0.754 0.500
0.000 0.000 0.000
0.500 0.000 0.000
0.000 0.500 0.000
0.745 0.745 0.500
0.255 0.255 0.500

***

[7]
Cd2Te PBE relaxed; magnetic moment = 0.00 μB/atom; energy above the lowest structure with this stoichiometry = 97 meV per atom; SG = C2/m; formation energy (no corrections) = -0.2 eV per formula unit
1.0
4.020 0.000 0.000
-2.010 6.467 0.570
0.000 0.309 3.138
Te Cd
1 2
Direct
0.000 0.000 0.000
0.681 0.361 0.803
0.319 0.639 0.197

***

[8]
Cd2Te PBE relaxed; magnetic moment = 0.00 μB/atom; energy above the lowest structure with this stoichiometry = 127 meV per atom; SG = I4_1/amd; formation energy (no corrections) = -0.1 eV per formula unit
1.0
-19.121 4.480 -2.888
-17.894 2.455 -8.233
17.748 -6.161 6.407
Te Cd
4 8
Direct
0.928 0.928 0.000
0.072 0.072 0.000
0.178 0.678 0.500
0.322 0.822 0.500
0.736 0.736 0.000
0.264 0.264 0.000
0.986 0.486 0.500
0.514 0.014 0.500
0.596 0.596 0.000
0.404 0.404 0.000
0.846 0.346 0.500
0.654 0.154 0.500